# 1
Density functional theory data (PBE) for a relaxed structure of Ac3BeP2N6.

a b c (Å): 5.5987 5.5987 6.5731
angles (deg): 90.00 90.00 120.00
With the nearest neighbours (Å) after each atom.
Positions (direct):
Ac  0.3333  0.6667  0.6591  9 N 2.79-2.81, 1 P 2.92
Ac  0.6667  0.3333  0.3409  9 N 2.79-2.81, 1 P 2.92
Ac  0.0000  0.0000  0.0000  6 N 2.62
Be  0.0000  0.0000  0.5000  6 N 2.10
P  0.6667  0.3333  0.7847  3 N 1.67
P  0.3333  0.6667  0.2153  3 N 1.67
N  0.6547  0.8274  0.3069  1 P 1.67
N  0.1726  0.3453  0.3069  1 P 1.67
N  0.1726  0.8274  0.3069  1 P 1.67
N  0.8274  0.6547  0.6931  1 P 1.67
N  0.3453  0.1726  0.6931  1 P 1.67
N  0.8274  0.1726  0.6931  1 P 1.67

As for the total magnetic moment: 0.000 μB/atom. Its uncorrected formation energy is -10.49 eV/f.u. As for the symmetry: P-3m1.

***

# 2
Density functional theory data (PBE) for a relaxed structure of CaAgBiF2.

a b c (Å): 4.2516 7.2982 4.2516
angles (deg): 90.00 90.00 90.00
With the nearest neighbours (Å) after each atom.
Positions (direct):
Ca  0.0000  0.0000  0.0000  4 F 2.13
Bi  0.5000  0.5000  0.5000  4 Ag 3.01
Ag  0.0000  0.5000  0.0000  4 Bi 3.01
F  0.0000  0.0000  0.5000  2 Ca 2.13
F  0.5000  0.0000  0.0000  2 Ca 2.13

As for the total magnetic moment: 0.000 μB/atom. Its uncorrected formation energy is -9.08 eV/f.u. As for the symmetry: P4/mmm.

***

# 3
Density functional theory data (PBE) for a relaxed structure of NaGe3Bi.

a b c (Å): 5.6229 5.6229 5.6229
angles (deg): 90.00 90.00 90.00
With the nearest neighbours (Å) after each atom.
Positions (direct):
Na  0.5000  0.5000  0.5000  12 Ge 3.98
Ge  0.0000  0.5000  0.0000  2 Bi 2.81
Ge  0.0000  0.0000  0.5000  2 Bi 2.81
Ge  0.5000  0.0000  0.0000  2 Bi 2.81
Bi  0.0000  0.0000  0.0000  6 Ge 2.81

The formation energy from the elements is 381 kJ/mol of formula units. The calculation puts the energy above the most stable polymorph in this dataset at 0 meV/atom. As for the total magnetic moment: 0.000 μB/atom. As for the symmetry: Pm-3m.

***

# 4
Density functional theory data (PBE) for a relaxed structure of ZrTi2Pt.

a b c (Å): 4.1949 4.1082 4.1082
angles (deg): 90.00 90.00 90.00
With the nearest neighbours (Å) after each atom.
Positions (direct):
Zr  0.5000  0.5000  0.5000  4 Pt 2.90, 8 Ti 2.94
Pt  0.5000  0.0000  0.0000  4 Zr 2.90, 8 Ti 2.94
Ti  0.0000  0.0000  0.5000  4 Ti 2.90, 4 Pt 2.94, 4 Zr 2.94
Ti  0.0000  0.5000  0.0000  4 Ti 2.90, 4 Zr 2.94, 4 Pt 2.94

The formation energy from the elements is -173 kJ/mol of formula units. The calculation puts the energy above the most stable polymorph in this dataset at 39 meV/atom. As for the total magnetic moment: 0.000 μB/atom. As for the symmetry: P4/mmm.

***

# 5
Density functional theory data (PBE) for a relaxed structure of TiAsO2.

a b c (Å): 5.8911 5.8911 5.8990
angles (deg): 60.04 60.04 90.00
With the nearest neighbours (Å) after each atom.
Positions (direct):
As  0.0000  0.0000  0.0000  12 O 3.37-3.54, 4 As 3.61, 4 Ti 3.61
As  0.7500  0.2500  0.5000  12 O 3.37-3.54, 4 Ti 3.61, 4 As 3.61
O  0.3922  0.1250  0.2500  2 Ti 1.81
O  0.3578  0.6250  0.2500  2 Ti 1.81
O  0.3750  0.6078  0.7500  2 Ti 1.81
O  0.8750  0.6422  0.7500  2 Ti 1.81
Ti  0.5000  0.5000  0.0000  4 O 1.81
Ti  0.2500  0.7500  0.5000  4 O 1.81

As for the total magnetic moment: 0.000 μB/atom. Its uncorrected formation energy is -6.41 eV/f.u. As for the symmetry: I-42d.

***

# 6
Density functional theory data (PBE) for a relaxed structure of Pr2NdDy3S6.

a b c (Å): 3.9582 8.0969 8.9817
angles (deg): 104.33 102.73 90.00
With the nearest neighbours (Å) after each atom.
Positions (direct):
Pr  0.8333  0.6666  0.6665  6 S 2.90-2.91
Pr  0.1667  0.3334  0.3335  6 S 2.90-2.91
Nd  0.5000  0.0000  0.0000  6 S 2.89-2.90
Dy  0.5000  0.5000  0.0000  6 S 2.75-2.77
Dy  0.8331  0.1667  0.6662  6 S 2.76
Dy  0.1669  0.8333  0.3338  6 S 2.76
S  0.3300  0.9280  0.6599  3 Dy 2.76, 1 Nd 2.89, 2 Pr 2.91
S  0.6625  0.5941  0.3249  3 Dy 2.75-2.76, 3 Pr 2.90-2.91
S  0.6700  0.0720  0.3401  3 Dy 2.76, 1 Nd 2.89, 2 Pr 2.91
S  0.9958  0.2588  0.9916  3 Dy 2.76-2.77, 2 Nd 2.90, 1 Pr 2.90
S  0.0042  0.7412  0.0084  3 Dy 2.76-2.77, 2 Nd 2.90, 1 Pr 2.90
S  0.3375  0.4059  0.6751  3 Dy 2.75-2.76, 3 Pr 2.90-2.91

As for the total magnetic moment: 0.000 μB/atom. Its uncorrected formation energy is -24.17 eV/f.u. As for the symmetry: C2/m.

***

# 7
Density functional theory data (PBE) for a relaxed structure of Pr4Sb2Pb.

a b c (Å): 8.6935 8.6937 8.6951
angles (deg): 108.97 108.97 110.47
With the nearest neighbours (Å) after each atom.
Positions (direct):
Pr  0.9314  0.2445  0.3133  3 Sb 3.10-3.20, 1 Pb 3.24
Pr  0.3186  0.5055  0.1867  3 Sb 3.10-3.20, 1 Pb 3.24
Pr  0.9312  0.6181  0.6867  3 Sb 3.10-3.20, 1 Pb 3.24
Pr  0.7555  0.0686  0.6867  3 Sb 3.10-3.20, 1 Pb 3.24
Pr  0.3819  0.0688  0.3133  3 Sb 3.10-3.20, 1 Pb 3.24
Pr  0.3188  0.1319  0.8133  3 Sb 3.10-3.20, 1 Pb 3.24
Pr  0.4945  0.6814  0.8133  3 Sb 3.10-3.20, 1 Pb 3.24
Pr  0.8681  0.6812  0.1867  3 Sb 3.10-3.20, 1 Pb 3.24
Sb  0.6250  0.3750  0.7500  6 Pr 3.10-3.20
Sb  0.6250  0.8750  0.2500  6 Pr 3.10-3.20
Sb  0.6250  0.3750  0.2500  6 Pr 3.10-3.20
Sb  0.1250  0.3750  0.7500  6 Pr 3.10-3.20
Pb  0.2501  0.7501  0.5000  4 Pr 3.24
Pb  0.9999  0.9999  0.0000  4 Pr 3.24

The calculation puts the energy above the most stable polymorph in this dataset at 154 meV/atom. As for the total magnetic moment: 0.001 μB/atom. Its uncorrected formation energy is -5.25 eV/f.u. As for the symmetry: I4_1/amd.

***

# 8
Density functional theory data (PBE) for a relaxed structure of GaAsP.

a b c (Å): 3.4409 5.1080 8.3686
angles (deg): 116.37 101.86 90.00
With the nearest neighbours (Å) after each atom.
Positions (direct):
As  0.4280  0.1845  0.8561  1 Ga 2.48, 2 P 2.50
As  0.5720  0.8155  0.1439  1 Ga 2.48, 2 P 2.50
Ga  0.3285  0.4322  0.6569  3 P 2.45-2.52, 1 As 2.48
Ga  0.6715  0.5678  0.3431  3 P 2.45-2.52, 1 As 2.48
P  0.8393  0.8074  0.6786  3 Ga 2.45-2.52, 2 As 2.50
P  0.1607  0.1926  0.3214  3 Ga 2.45-2.52, 2 As 2.50

The formation energy from the elements is 26 kJ/mol of formula units. As for the total magnetic moment: 0.000 μB/atom. As for the symmetry: C2/m.

***

# 9
Density functional theory data (PBE) for a relaxed structure of PaMoOs.

a b c (Å): 3.0267 3.0267 6.4528
angles (deg): 103.56 103.56 90.00
With the nearest neighbours (Å) after each atom.
Positions (direct):
Mo  0.6892  0.6892  0.3784  4 Os 2.62
Pa  0.9976  0.9976  0.9952  4 Pa 3.03, 4 Os 3.10, 4 Mo 3.17
Os  0.3132  0.3132  0.6264  4 Mo 2.62

The formation energy from the elements is -1 kJ/mol of formula units. The calculation puts the energy above the most stable polymorph in this dataset at 0 meV/atom. As for the total magnetic moment: 0.000 μB/atom. As for the symmetry: I4mm.

***

# 10
Density functional theory data (PBE) for a relaxed structure of BPt2Au.

a b c (Å): 3.2421 3.2421 6.7916
angles (deg): 76.19 76.19 60.00
With the nearest neighbours (Å) after each atom.
Positions (direct):
B  0.6675  0.6675  0.9975  6 Pt 2.16-2.18
Pt  0.0559  0.0559  0.8323  3 B 2.16
Pt  0.2768  0.2768  0.1697  3 B 2.18
Au  0.4998  0.4998  0.5005  6 Pt 2.86

The formation energy from the elements is -41 kJ/mol of formula units. As for the total magnetic moment: 0.000 μB/atom. As for the symmetry: R3m.

***

# 11
Density functional theory data (PBE) for a relaxed structure of Rb3SrCd2F9.

a b c (Å): 6.4703 6.4703 8.0232
angles (deg): 90.00 90.00 120.00
With the nearest neighbours (Å) after each atom.
Positions (direct):
Rb  0.3333  0.6667  0.6903  9 F 3.11-3.24
Rb  0.0000  0.0000  0.0000  12 F 3.20-3.24
Rb  0.6667  0.3333  0.3097  9 F 3.11-3.24
Sr  0.0000  0.0000  0.5000  6 F 2.38
Cd  0.3333  0.6667  0.1621  6 F 2.24-2.28
Cd  0.6667  0.3333  0.8379  6 F 2.24-2.28
F  0.8305  0.1695  0.6789  1 Cd 2.24, 1 Sr 2.38
F  0.8305  0.6611  0.6789  1 Cd 2.24, 1 Sr 2.38
F  0.3389  0.1695  0.6789  1 Cd 2.24, 1 Sr 2.38
F  0.6611  0.8305  0.3211  1 Cd 2.24, 1 Sr 2.38
F  0.1695  0.3389  0.3211  1 Cd 2.24, 1 Sr 2.38
F  0.1695  0.8305  0.3211  1 Cd 2.24, 1 Sr 2.38
F  0.5000  0.0000  0.0000  2 Cd 2.28
F  0.0000  0.5000  0.0000  2 Cd 2.28
F  0.5000  0.5000  0.0000  2 Cd 2.28

As for the total magnetic moment: 0.000 μB/atom. Its uncorrected formation energy is -41.54 eV/f.u. As for the symmetry: P-3m1.

***

# 12
Density functional theory data (PBE) for a relaxed structure of Nb2ZnIrO.

a b c (Å): 4.8639 4.6847 4.8639
angles (deg): 90.00 90.00 90.00
With the nearest neighbours (Å) after each atom.
Positions (direct):
Nb  0.0000  0.0000  0.5000  2 Ir 2.43
Nb  0.5000  0.0000  0.0000  2 Ir 2.43
Ir  0.0000  0.0000  0.0000  2 Zn 2.34, 4 Nb 2.43
Zn  0.0000  0.5000  0.0000  2 Ir 2.34
O  0.5000  0.5000  0.5000  8 Nb 3.38, 4 Zn 3.44

As for the total magnetic moment: 0.362 μB/atom. Its uncorrected formation energy is 5.35 eV/f.u. As for the symmetry: P4/mmm.

***

Number 1: electronic total energy -7.28 eV per atom. Number 2: electronic total energy -4.31 eV per atom. Number 3: electronic total energy -3.02 eV per atom. Number 4: electronic total energy -8.04 eV per atom. Number 5: electronic total energy -7.22 eV per atom. Number 6: electronic total energy -6.42 eV per atom. Number 7: electronic total energy -5.19 eV per atom. Number 8: electronic total energy -4.27 eV per atom. Number 9: electronic total energy -10.52 eV per atom. Number 10: electronic total energy -5.61 eV per atom. Number 11: electronic total energy -4.32 eV per atom. Number 12: electronic total energy -5.98 eV per atom.